The following is a PBE calculation of a relaxed structure of ZrTlFeW, from OQMD via LeMat-Bulk.

CIF file:
```
data_ZrTlFeW
_chemical_formula_sum 'Zr1 Tl1 Fe1 W1'
_cell_length_a 4.642
_cell_length_b 4.642
_cell_length_c 4.642
_cell_angle_alpha 60.00
_cell_angle_beta 60.00
_cell_angle_gamma 60.00
_space_group_name_H-M_alt 'P 1'
_space_group_IT_number 1
_space_group_name_Hall 'P 1'
loop_
_atom_site_label
_atom_site_type_symbol
_atom_site_fract_x
_atom_site_fract_y
_atom_site_fract_z
Zr1 Zr 0.000 0.000 0.000
Tl1 Tl 0.250 0.250 0.250
Fe1 Fe 0.500 0.500 0.500
W1 W 0.750 0.750 0.750
```

Results
VASP energy (eV per atom): -7.427
Energy relative to the lowest polymorph listed for this composition (meV/atom): 0.0
Space-group type: No. 216
ρ (kg/m³): 12569